# K2ZrNiF, relaxed, DFT PBE with a Hubbard U
data_K2ZrNiF
_chemical_formula_sum 'K2 Zr1 Ni1 F1'
_space_group_name_H-M_alt 'P 4/m m m'
_space_group_IT_number 123
_space_group_name_Hall '-P 4 2'
_cell_length_a 4.4074
_cell_length_b 4.4074
_cell_length_c 6.3262
_cell_angle_alpha 90.00
_cell_angle_beta 90.00
_cell_angle_gamma 90.00
loop_
_atom_site_label
_atom_site_fract_x
_atom_site_fract_y
_atom_site_fract_z
K1 0.0000 0.5000 0.0000
Zr1 0.0000 0.0000 0.5000
Ni1 0.5000 0.5000 0.5000
F1 0.5000 0.5000 0.0000
# - Size of the total moment: 1.73 Bohr magnetons per cell
# - DFT total energy: -13.4 eV/cell